(1)
Here is a relaxed structure of LiHfAlFe from OQMD via LeMat-Bulk. Energies are from PBE.

Summary:
E_tot, eV for the cell shown: -24.7
E above lowest polymorph, meV per atom: 0
V, Å³/cell: 57.0

abc: 4.319 4.319 4.319
angles: 60.00 60.00 60.00
Atoms (fractional coordinates):
Al 0.000 0.000 0.000
Fe 0.750 0.750 0.750
Hf 0.500 0.500 0.500
Li 0.250 0.250 0.250

---

(2)
Here is a relaxed structure of SmY2In3Fe3 from OQMD via LeMat-Bulk. Energies are from PBE.

Summary:
E_tot, eV for the cell shown: -51.5
V, Å³/cell: 191.3

abc: 3.930 7.477 7.477
angles: 119.47 90.00 90.00
Site moments in Bohr magnetons follow the coordinates.
Atoms (fractional coordinates):
Fe 0.000 0.000 0.000  2.12
Fe 0.500 0.670 0.335  2.22
Fe 0.500 0.335 0.670  2.22
In 0.500 0.743 0.002  -0.04
In 0.500 0.253 0.253  -0.03
In 0.500 0.002 0.743  -0.03
Sm 0.000 0.586 0.586  -0.17
Y 0.000 0.409 0.003  -0.18
Y 0.000 0.003 0.409  -0.20

---

(3)
Here is a relaxed structure of TaAs from OQMD via LeMat-Bulk. Energies are from PBE.

Summary:
E_tot, eV for the cell shown: -69.7
V, Å³/cell: 138.1

abc: 4.987 4.905 6.217
angles: 90.00 114.75 90.00
Atoms (fractional coordinates):
As 0.295 0.650 0.067
As 0.705 0.150 0.433
As 0.295 0.850 0.567
As 0.705 0.350 0.933
Ta 0.825 0.858 0.126
Ta 0.175 0.358 0.374
Ta 0.825 0.642 0.626
Ta 0.175 0.142 0.874

---

(4)
Here is a relaxed structure of LiSiBiOs from OQMD via LeMat-Bulk. Energies are from PBE.

Summary:
E_tot, eV for the cell shown: -21.7
E above lowest polymorph, meV per atom: 0
V, Å³/cell: 66.3

abc: 4.543 4.543 4.543
angles: 60.00 60.00 60.00
Atoms (fractional coordinates):
Bi 0.000 0.000 0.000
Li 0.750 0.750 0.750
Os 0.250 0.250 0.250
Si 0.500 0.500 0.500

---

Please write out number 1 again, unchanged.
Here is a relaxed structure of LiHfAlFe from OQMD via LeMat-Bulk. Energies are from PBE.

Summary:
E_tot, eV for the cell shown: -24.7
E above lowest polymorph, meV per atom: 0
V, Å³/cell: 57.0

abc: 4.319 4.319 4.319
angles: 60.00 60.00 60.00
Atoms (fractional coordinates):
Al 0.000 0.000 0.000
Fe 0.750 0.750 0.750
Hf 0.500 0.500 0.500
Li 0.250 0.250 0.250

---

Among the records above, which one has the highest E_tot? LiSiBiOs

---

Look up the E_tot of the fourth one. -21.7 eV for the cell shown